(1)
Computed, not measured: a relaxed CaTlV3 crystal at the PBE level of DFT.

Cell lengths 4.5313, 4.5313, 4.5313 Å; angles 90.00, 90.00, 90.00 degrees
Atoms (fractional coordinates):
Tl1 0.5000 0.5000 0.5000
Ca1 0.0000 0.0000 0.0000
V1 0.0000 0.5000 0.0000
V2 0.0000 0.0000 0.5000
V3 0.5000 0.0000 0.0000

Calculated values
Space group   Pm-3m
Total magnetization   0.000 Bohr magnetons per cell
E above lowest polymorph   677.4 meV per atom

=====

(2)
Computed, not measured: a relaxed CaTlV2 crystal at the PBE level of DFT.

Cell lengths 4.9545, 4.9545, 4.9545 Å; angles 60.00, 60.00, 60.00 degrees
Site moments in Bohr magnetons follow the coordinates.
Atoms (fractional coordinates):
Tl1 0.5000 0.5000 0.5000  -0.10
Ca1 0.0000 0.0000 0.0000  0.22
V1 0.2500 0.2500 0.2500  2.73
V2 0.7500 0.7500 0.7500  2.73

Calculated values
Space group   Fm-3m
Total magnetization   6.979 Bohr magnetons per cell
E above lowest polymorph   0.0 meV per atom

=====

(3)
Computed, not measured: a relaxed CaTlV2 crystal at the PBE level of DFT.

Cell lengths 8.1388, 8.1388, 6.4905 Å; angles 51.17, 51.17, 90.00 degrees
Site moments in Bohr magnetons follow the coordinates.
Atoms (fractional coordinates):
Tl1 0.0000 0.0000 0.0000  -0.05
Tl2 0.7500 0.2500 0.5000  -0.05
Ca1 0.5000 0.5000 0.0000  0.06
Ca2 0.2500 0.7500 0.5000  0.06
V1 0.6636 0.1250 0.2500  2.58
V2 0.0864 0.6250 0.2500  2.58
V3 0.3750 0.3364 0.7500  2.58
V4 0.8750 0.9136 0.7500  2.58

Calculated values
Space group   I-42d
Total magnetization   12.634 Bohr magnetons per cell
E above lowest polymorph   308.3 meV per atom

=====

(4)
Computed, not measured: a relaxed CaTl2V crystal at the PBE level of DFT.

Cell lengths 4.7171, 4.7171, 10.8556 Å; angles 77.45, 77.45, 90.00 degrees
Site moments in Bohr magnetons follow the coordinates.
Atoms (fractional coordinates):
Tl1 0.6653 0.1250 0.2500  -0.02
Tl2 0.0847 0.6250 0.2500  -0.02
Tl3 0.3750 0.3347 0.7500  -0.02
Tl4 0.8750 0.9153 0.7500  -0.02
Ca1 0.5000 0.5000 0.0000  0.04
Ca2 0.2500 0.7500 0.5000  0.04
V1 0.0000 0.0000 0.0000  2.80
V2 0.7500 0.2500 0.5000  2.80

Calculated values
Space group   I-42d
Total magnetization   6.836 Bohr magnetons per cell
Uncorrected energy   -3.49 eV/atom

=====

(5)
Computed, not measured: a relaxed CaTlV3 crystal at the PBE level of DFT.

Cell lengths 5.2105, 5.2105, 5.2105 Å; angles 90.00, 90.00, 90.00 degrees
Site moments in Bohr magnetons follow the coordinates.
Atoms (fractional coordinates):
Tl1 0.0000 0.0000 0.0000  0.01
Ca1 0.5000 0.5000 0.5000  0.10
V1 0.0000 0.5000 0.0000  2.64
V2 0.0000 0.0000 0.5000  2.64
V3 0.5000 0.0000 0.0000  2.64

Calculated values
Space group   Pm-3m
Total magnetization   10.229 Bohr magnetons per cell
E above lowest polymorph   0.0 meV per atom

=====

(6)
Computed, not measured: a relaxed Ca2TlV2 crystal at the PBE level of DFT.

Cell lengths 8.6333, 8.6333, 3.7025 Å; angles 90.00, 90.00, 90.00 degrees
Site moments in Bohr magnetons follow the coordinates.
Atoms (fractional coordinates):
Tl1 0.0000 0.0000 0.0000  -0.04
Tl2 0.5000 0.5000 0.0000  -0.04
Ca1 0.3554 0.8554 0.0000  0.14
Ca2 0.8554 0.6446 0.0000  0.14
Ca3 0.6446 0.1446 0.0000  0.14
Ca4 0.1446 0.3554 0.0000  0.14
V1 0.1535 0.6535 0.5000  2.95
V2 0.6535 0.8465 0.5000  2.95
V3 0.8465 0.3465 0.5000  2.95
V4 0.3465 0.1535 0.5000  2.95

Calculated values
Space group   P4/mbm
Total magnetization   16.078 Bohr magnetons per cell
E above lowest polymorph   561.2 meV per atom

=====

(7)
Computed, not measured: a relaxed CaTlV2Zn crystal at the PBE level of DFT.

Cell lengths 5.2271, 5.7264, 5.2271 Å; angles 90.00, 90.00, 90.00 degrees
Site moments in Bohr magnetons follow the coordinates.
Atoms (fractional coordinates):
Tl1 0.0000 0.0000 0.0000  -0.04
Ca1 0.0000 0.5000 0.0000  0.00
Zn1 0.5000 0.5000 0.5000  0.01
V1 0.0000 0.0000 0.5000  2.78
V2 0.5000 0.0000 0.0000  2.69

Calculated values
Space group   P4/mmm
Total magnetization   6.982 Bohr magnetons per cell
E above lowest polymorph   0.0 meV per atom

=====

(8)
Computed, not measured: a relaxed CaTlV2Zn crystal at the PBE level of DFT.

Cell lengths 4.6157, 5.1519, 4.6157 Å; angles 90.00, 90.00, 90.00 degrees
Atoms (fractional coordinates):
Tl1 0.5000 0.5000 0.5000
Ca1 0.0000 0.0000 0.0000
Zn1 0.0000 0.5000 0.0000
V1 0.0000 0.0000 0.5000
V2 0.5000 0.0000 0.0000

Calculated values
Space group   P4/mmm
Total magnetization   0.005 Bohr magnetons per cell
E above lowest polymorph   634.6 meV per atom

=====

(9)
Computed, not measured: a relaxed CaTl2W crystal at the PBE level of DFT.

Cell lengths 5.4540, 3.0833, 5.6269 Å; angles 85.06, 90.00, 90.00 degrees
Atoms (fractional coordinates):
Tl1 0.0000 0.1053 0.9889
Tl2 0.5000 0.2701 0.2724
Ca1 0.5000 0.7405 0.7541
W1 0.0000 0.3841 0.4846

Calculated values
Space group   Pm
Total magnetization   0.000 Bohr magnetons per cell
E above lowest polymorph   154.7 meV per atom

=====

(10)
Computed, not measured: a relaxed CaTl2W crystal at the PBE level of DFT.

Cell lengths 3.6488, 3.6488, 6.9191 Å; angles 90.00, 90.00, 90.00 degrees
Atoms (fractional coordinates):
Tl1 0.0000 0.0000 0.0294
Tl2 0.0000 0.0000 0.4706
Ca1 0.5000 0.5000 0.7500
W1 0.5000 0.5000 0.2500

Calculated values
Space group   P4/mmm
Total magnetization   0.000 Bohr magnetons per cell
E above lowest polymorph   60.9 meV per atom

=====

(11)
Computed, not measured: a relaxed CaTl2W crystal at the PBE level of DFT.

Cell lengths 3.1551, 3.1551, 9.9123 Å; angles 90.00, 90.00, 102.90 degrees
Atoms (fractional coordinates):
Tl1 0.0000 0.0000 0.0066
Tl2 0.5000 0.5000 0.2708
Ca1 0.5000 0.5000 0.7279
W1 0.0000 0.0000 0.4947

Calculated values
Space group   Cmm2
Total magnetization   0.000 Bohr magnetons per cell
E above lowest polymorph   138.2 meV per atom

=====

(12)
Computed, not measured: a relaxed CaTlW2 crystal at the PBE level of DFT.

Cell lengths 4.8031, 4.8031, 4.8031 Å; angles 60.00, 60.00, 60.00 degrees
Atoms (fractional coordinates):
Tl1 0.7500 0.7500 0.7500
Ca1 0.5000 0.5000 0.5000
W1 0.0000 0.0000 0.0000
W2 0.2500 0.2500 0.2500

Calculated values
Space group   F-43m
Total magnetization   0.000 Bohr magnetons per cell
E above lowest polymorph   380.3 meV per atom